# BaMg2InAg | Alexandria | PBE-GGA | optimized geometry
data_BaMg2InAg
_symmetry_space_group_name_H-M 'P 4/m m m'
_symmetry_Int_Tables_number 123
_symmetry_space_group_name_Hall '-P 4 2'
_cell_length_a 5.2841
_cell_length_b 5.2841
_cell_length_c 5.3741
_cell_angle_alpha 90.00
_cell_angle_beta 90.00
_cell_angle_gamma 90.00
loop_
_atom_site_label
_atom_site_fract_x
_atom_site_fract_y
_atom_site_fract_z
Ba1 0.0000 0.0000 0.0000
Mg1 0.0000 0.5000 0.5000
In1 0.5000 0.5000 0.0000
Ag1 0.5000 0.5000 0.5000
# raw total energy: -2.2500 eV per atom
# ΔE_f: -10.6 kJ/mol of atoms